No. 1
This record from Alexandria describes a geometry-optimized LaHf2BeZn structure. The functional is PBE.

Cell and atoms, written as CIF:
```
data_LaHf2BeZn
_chemical_formula_sum 'La1 Hf2 Be1 Zn1'
_cell_length_a 4.903
_cell_length_b 4.371
_cell_length_c 4.903
_cell_angle_alpha 90.00
_cell_angle_beta 90.00
_cell_angle_gamma 90.00
_space_group_name_H-M_alt 'P 1'
_space_group_IT_number 1
loop_
_space_group_symop_operation_xyz
'x,y,z'
loop_
_atom_site_label
_atom_site_type_symbol
_atom_site_fract_x
_atom_site_fract_y
_atom_site_fract_z
Hf1 Hf 0.000 0.000 0.500
Zn1 Zn 0.000 0.500 0.000
Hf2 Hf 0.500 0.000 0.000
Be1 Be 0.000 0.000 0.000
La1 La 0.500 0.500 0.500
```


No. 2
This record from Alexandria describes a geometry-optimized Li2HfBe structure. The functional is PBE.

Cell and atoms, written as CIF:
```
data_Li2HfBe
_chemical_formula_sum 'Li4 Hf2 Be2'
_cell_length_a 7.047
_cell_length_b 7.047
_cell_length_c 5.622
_cell_angle_alpha 51.19
_cell_angle_beta 51.19
_cell_angle_gamma 90.00
_space_group_name_H-M_alt 'P 1'
_space_group_IT_number 1
loop_
_space_group_symop_operation_xyz
'x,y,z'
loop_
_atom_site_label
_atom_site_type_symbol
_atom_site_fract_x
_atom_site_fract_y
_atom_site_fract_z
Be1 Be 0.250 0.750 0.500
Li1 Li 0.875 0.822 0.750
Hf1 Hf 0.000 0.000 0.000
Be2 Be 0.500 0.500 0.000
Li2 Li 0.375 0.428 0.750
Li3 Li 0.572 0.125 0.250
Li4 Li 0.178 0.625 0.250
Hf2 Hf 0.750 0.250 0.500
```


No. 3
# LiHf3Be (PBE, relaxed)
data_LiHf3Be
_chemical_formula_sum 'Li1 Hf3 Be1'
_cell_length_a 4.715
_cell_length_b 4.715
_cell_length_c 4.715
_cell_angle_alpha 90.00
_cell_angle_beta 90.00
_cell_angle_gamma 90.00
_space_group_name_H-M_alt 'P 1'
_space_group_IT_number 1
loop_
_space_group_symop_operation_xyz
'x,y,z'
loop_
_atom_site_label
_atom_site_type_symbol
_atom_site_fract_x
_atom_site_fract_y
_atom_site_fract_z
Li1 Li 0.500 0.500 0.500
Hf1 Hf 0.000 0.500 0.000
Be1 Be 0.000 0.000 0.000
Hf2 Hf 0.500 0.000 0.000
Hf3 Hf 0.000 0.000 0.500
# Energy above the most stable polymorph in this dataset (meV per atom): 0.0


Energy of formation from the pure elements values, unit eV/atom, following the record order: 0.316, 0.624, 0.539.